Compound: RbPaP2N6
Source: Alexandria via LeMat-Bulk
Functional: GGA-PBE
Structure: relaxed

Properties
VASP energy, eV per atom: -7.72
Formation energy (no corrections), eV/atom: -0.599
DOS at the Fermi energy, states/eV/cell: 0.000

Cell lengths 7.414, 7.414, 4.870 Å; angles 90.55, 90.55, 101.30 degrees
Positions (direct):
Rb: 0.081 0.919 0.750
Rb: 0.919 0.081 0.250
Pa: 0.280 0.720 0.250
Pa: 0.720 0.280 0.750
P: 0.228 0.379 0.691
P: 0.379 0.228 0.191
P: 0.621 0.772 0.809
P: 0.772 0.621 0.309
N: 0.015 0.296 0.747
N: 0.247 0.602 0.776
N: 0.284 0.383 0.361
N: 0.296 0.015 0.247
N: 0.383 0.284 0.861
N: 0.398 0.753 0.724
N: 0.602 0.247 0.276
N: 0.617 0.716 0.139
N: 0.704 0.985 0.753
N: 0.716 0.617 0.639
N: 0.753 0.398 0.224
N: 0.985 0.704 0.253